Density functional theory data (GGA-PBE) for a relaxed Bi2SbS4Cl crystal.

**Space group**: No. 12
**Magnetic moment**: 0.000 μB/f.u.
**Calculated volume**: 26.70 Å³/atom
**Raw formation energy**: -0.403 eV per atom

Cell: 6.849 6.849 9.644 Å, 119.02 119.02 33.20°
Sites, in units of the cell vectors:
1 Bi 0.196 0.196 0.249
2 Bi 0.804 0.804 0.751
3 Sb 0.000 0.000 0.500
4 S 0.189 0.189 0.808
5 S 0.380 0.380 0.562
6 S 0.620 0.620 0.438
7 S 0.811 0.811 0.192
8 Cl 0.500 0.500 0.000